Entry from Alexandria: a geometry-optimized La2CrI structure (PBE).

Output
Space-group type ... Fm-3m, No. 225
Fermi-level density of states ... 7.0 states/eV/f.u.
Energy above the lowest structure with this stoichiometry ... 0 meV per atom

Cell lengths 5.557, 5.557, 5.557 Å; angles 60.00, 60.00, 60.00 degrees
Last column: magnetic moment on the atom in μB.
Fractional coordinates of all 4 atoms:
I 0.500 0.500 0.500  0.05
Cr 0.000 0.000 0.000  3.87
La 0.250 0.250 0.250  -0.09
La 0.750 0.750 0.750  -0.09


Entry from Alexandria: a geometry-optimized La2CrI structure (PBE).

Output
Space-group type ... I-42d, No. 122
Fermi-level density of states ... 1.7 states/eV/f.u.
Energy above the lowest structure with this stoichiometry ... 94 meV per atom

Cell lengths 7.295, 7.295, 7.095 Å; angles 59.07, 59.07, 90.00 degrees
Fractional coordinates of all 8 atoms:
I 0.000 0.000 0.000
I 0.750 0.250 0.500
Cr 0.500 0.500 0.000
Cr 0.250 0.750 0.500
La 0.503 0.125 0.250
La 0.247 0.625 0.250
La 0.375 0.497 0.750
La 0.875 0.753 0.750